Compound: AcHgAsO5
Source: Alexandria via LeMat-Bulk
Functional: PBE
Structure: optimized geometry

D(E_F) (states/eV per cell): 0.0
SG: C2/c
Formation energy without anion corrections (eV per atom): -1.7659
Electronic total energy (eV/atom): -5.997

POSCAR file:
```
AcHgAsO5
1.0
6.402 0.757 -0.193
-1.145 6.344 -0.193
-2.426 -3.277 8.045
O Ac Hg As
10 2 2 2
Direct
0.643 0.696 0.852 O
0.222 0.726 0.891 O
0.726 0.222 0.391 O
0.106 0.894 0.250 O
0.894 0.106 0.750 O
0.357 0.304 0.148 O
0.696 0.643 0.352 O
0.304 0.357 0.648 O
0.778 0.274 0.109 O
0.274 0.778 0.609 O
0.000 0.000 0.500 Ac
0.000 0.000 0.000 Ac
0.677 0.323 0.750 Hg
0.323 0.677 0.250 Hg
0.351 0.649 0.750 As
0.649 0.351 0.250 As
```

=====

Compound: AcHg2As2Pd7
Source: Alexandria via LeMat-Bulk
Functional: PBE
Structure: optimized geometry

E_form (meV/atom): -334
D(E_F) (states/eV per cell): 4.0
SG: C2/m
Electronic total energy (eV/atom): -4.530

POSCAR file:
```
AcHg2As2Pd7
1.0
4.100 0.006 0.095
0.011 4.100 0.095
2.375 2.372 14.821
Hg Pd As Ac
2 7 2 1
Direct
0.714 0.714 0.407 Hg
0.286 0.286 0.593 Hg
0.394 0.893 0.160 Pd
0.204 0.204 0.419 Pd
0.796 0.796 0.581 Pd
0.606 0.107 0.840 Pd
0.893 0.394 0.160 Pd
0.500 0.500 0.000 Pd
0.107 0.606 0.840 Pd
0.670 0.670 0.745 As
0.330 0.330 0.255 As
0.000 0.000 0.000 Ac
```

=====

Compound: Ac2HgAs3Pd4
Source: Alexandria via LeMat-Bulk
Functional: PBE
Structure: optimized geometry

E_form (meV/atom): -813
D(E_F) (states/eV per cell): 6.3
SG: P-4m2
Electronic total energy (eV/atom): -5.137

POSCAR file:
```
Ac2HgAs3Pd4
1.0
4.470 0.000 0.000
0.000 4.470 0.000
0.000 0.000 10.788
Pd As Ac Hg
4 3 2 1
Direct
0.000 0.000 0.000 Pd
0.000 0.500 0.354 Pd
0.500 0.500 0.000 Pd
0.500 0.000 0.646 Pd
0.500 0.000 0.874 As
0.000 0.000 0.500 As
0.000 0.500 0.126 As
0.000 0.500 0.762 Ac
0.500 0.000 0.238 Ac
0.500 0.500 0.500 Hg
```